Record 1
Compound: ZnSiBr2
Source: the Alexandria database
Functional: GGA-PBE
Structure: optimized geometry

Geometry as POSCAR:
```
ZnSiBr2
1.0
0.000 3.583 3.583
3.583 0.000 3.583
3.583 3.583 0.000
Zn Br Si
1 2 1
direct
0.500 0.500 0.500
0.250 0.250 0.250
0.750 0.750 0.750
0.000 0.000 0.000
```

Results
Crystal system: cubic
Symmetry: Fm-3m (225)
Total magnetic moment (μB/cell): 0.000
Distance to the lowest polymorph of the same formula (meV per atom): 498.9
Formation energy from raw total energies (meV/atom): 339

***

Record 2
Compound: PmIn5Pt3
Source: the Alexandria database
Functional: GGA-PBE
Structure: optimized geometry

Geometry as POSCAR:
```
PmIn5Pt3
1.0
-0.235 -2.905 3.280
5.022 -2.724 -4.987
9.771 6.383 6.354
In Pt Pm
10 6 2
direct
0.792 0.584 0.432
0.000 0.000 0.500
0.000 0.000 0.000
0.570 0.140 0.640
0.792 0.584 0.068
0.430 0.860 0.140
0.208 0.416 0.568
0.430 0.860 0.360
0.208 0.416 0.932
0.570 0.140 0.860
0.392 0.783 0.925
0.880 0.760 0.250
0.120 0.240 0.750
0.608 0.217 0.425
0.392 0.783 0.575
0.608 0.217 0.075
0.108 0.217 0.250
0.892 0.783 0.750
```

Results
Crystal system: orthorhombic
Symmetry: Cmcm (63)
Total magnetic moment (μB/cell): 0.000
Formation energy from the elements (eV/atom): -0.4378

***

Which value of total magnetic moment does entry 2 give?
0.000 μB/cell

***

Look up the total magnetic moment of the first one.
0.000 μB/cell